Entry 1:
Entry from Alexandria: crystalline PaCu3Br6O2 at its relaxed geometry (GGA-PBE).

Summary:
Spin magnetization = 1.882 μB per formula unit
Total DFT energy (no corrections) = -0.1554 hartree per atom
Uncorrected formation energy = -0.750 eV per atom

Cell and atoms, written as CIF:
```
data_PaCu3Br6O2
_cell_length_a 11.283
_cell_length_b 6.845
_cell_length_c 7.917
_cell_angle_alpha 90.00
_cell_angle_beta 92.80
_cell_angle_gamma 90.00
_space_group_name_H-M_alt 'C 1 2/m 1'
_space_group_IT_number 12
loop_
_space_group_symop_operation_xyz
'x,y,z'
'-x,-y,-z'
'-x,y,-z'
'x,-y,z'
'x+1/2,y+1/2,z'
'-x+1/2,-y+1/2,-z'
'-x+1/2,y+1/2,-z'
'x+1/2,-y+1/2,z'
loop_
_atom_site_label
_atom_site_type_symbol
_atom_site_fract_x
_atom_site_fract_y
_atom_site_fract_z
Pa1 Pa 0.000 0.000 0.000
Cu1 Cu 0.000 0.500 0.500
Cu2 Cu 0.250 0.250 0.500
Br1 Br 0.102 0.000 0.684
Br2 Br 0.142 0.262 0.155
O1 O 0.163 0.500 0.519
```

=====

Entry 2:
Entry from Alexandria: crystalline ZrFe2Re at its relaxed geometry (GGA-PBE).

Summary:
Spin magnetization = 0.000 μB per formula unit
Total DFT energy (no corrections) = -0.3457 hartree per atom
ΔH_f (0 K) = 7.0 kJ per mole of atoms

Cell and atoms, written as CIF:
```
data_ZrFe2Re
_cell_length_a 2.877
_cell_length_b 2.877
_cell_length_c 6.948
_cell_angle_alpha 90.00
_cell_angle_beta 90.00
_cell_angle_gamma 90.00
_space_group_name_H-M_alt 'P 4/m m m'
_space_group_IT_number 123
_space_group_name_Hall '-P 4 2'
loop_
_atom_site_label
_atom_site_type_symbol
_atom_site_fract_x
_atom_site_fract_y
_atom_site_fract_z
Zr1 Zr 0.000 0.000 0.000
Fe1 Fe 0.500 0.500 0.287
Re1 Re 0.000 0.000 0.500
```

=====

Entry 3:
Entry from Alexandria: crystalline AuS2BrN at its relaxed geometry (GGA-PBE).

Summary:
Spin magnetization = 0.005 μB per formula unit
Offset from the most stable computed form = 0.3445 eV per atom
Total DFT energy (no corrections) = -0.0939 hartree per atom
Uncorrected formation energy = 1.751 eV per atom

Cell and atoms, written as CIF:
```
data_AuS2BrN
_cell_length_a 5.072
_cell_length_b 5.072
_cell_length_c 3.643
_cell_angle_alpha 90.00
_cell_angle_beta 90.00
_cell_angle_gamma 90.00
_space_group_name_H-M_alt 'P 4/m m m'
_space_group_IT_number 123
_space_group_name_Hall '-P 4 2'
loop_
_atom_site_label
_atom_site_type_symbol
_atom_site_fract_x
_atom_site_fract_y
_atom_site_fract_z
Au1 Au 0.000 0.000 0.000
S1 S 0.000 0.500 0.500
Br1 Br 0.500 0.500 0.500
N1 N 0.500 0.500 0.000
```

=====

Entry 4:
Entry from Alexandria: crystalline Ir3Pb at its relaxed geometry (GGA-PBE).

Summary:
Spin magnetization = 0.000 μB per formula unit
Total DFT energy (no corrections) = -0.2608 hartree per atom
ΔH_f (0 K) = 46.0 kJ per mole of atoms

Cell and atoms, written as CIF:
```
data_Ir3Pb
_cell_length_a 4.110
_cell_length_b 4.110
_cell_length_c 7.827
_cell_angle_alpha 90.00
_cell_angle_beta 90.00
_cell_angle_gamma 90.00
_space_group_name_H-M_alt 'I 4/m m m'
_space_group_IT_number 139
_space_group_name_Hall '-I 4 2'
loop_
_atom_site_label
_atom_site_type_symbol
_atom_site_fract_x
_atom_site_fract_y
_atom_site_fract_z
Ir1 Ir 0.000 0.000 0.000
Ir2 Ir 0.000 0.500 0.250
Pb1 Pb 0.000 0.000 0.500
```

=====

spin magnetization of number 2 (ZrFe2Re)? 0.000 μB per formula unit